1.
La2AgPt2 PBE relaxed; distance to the lowest polymorph of the same formula = 132 meV per atom; Fermi-level density of states = 1.849 states/eV per cell; energy = -5.781 eV/atom; energy of formation from the pure elements = -4.1 eV/f.u.
1.0
5.657 0.000 0.000
0.000 5.657 0.000
2.828 2.828 4.105
La Pt Ag
2 2 1
Direct
0.250 0.750 0.500 La
0.750 0.250 0.500 La
0.339 0.339 0.322 Pt
0.661 0.661 0.678 Pt
0.000 0.000 0.000 Ag



2.
LiTm2Cr PBE relaxed; distance to the lowest polymorph of the same formula = 0 meV per atom; Fermi-level density of states = 2.803 states/eV per cell; energy = -4.962 eV/atom; energy of formation from the pure elements = 0.6 eV/f.u.
1.0
-3.561 -0.702 -3.449
-0.946 -4.606 -1.720
-4.266 -2.308 1.240
Cr Tm Li
1 2 1
Direct
0.000 0.000 0.000 Cr
0.250 0.250 0.250 Tm
0.750 0.750 0.750 Tm
0.500 0.500 0.500 Li



3.
Th6Sb5As PBE relaxed; Fermi-level density of states = 8.160 states/eV per cell; energy = -6.796 eV/atom; raw formation energy = -980.9 meV/atom
1.0
-7.593 1.398 0.515
3.009 -6.342 3.256
2.633 5.351 4.925
As Th Sb
1 6 5
Direct
0.000 0.000 0.000 As
0.605 0.922 0.763 Th
0.922 0.605 0.763 Th
0.078 0.395 0.237 Th
0.766 0.766 0.245 Th
0.234 0.234 0.755 Th
0.395 0.078 0.237 Th
0.665 0.335 0.000 Sb
0.174 0.826 0.500 Sb
0.826 0.174 0.500 Sb
0.335 0.665 0.000 Sb
0.500 0.500 0.500 Sb



4.
Er11In9Ni4 PBE relaxed; Fermi-level density of states = 14.818 states/eV per cell; energy = -4.606 eV/atom; energy of formation from the pure elements = -12.6 eV/f.u.
1.0
-0.411 -3.258 -1.532
3.159 5.009 -11.497
10.286 -4.361 6.514
In Er Ni
9 11 4
Direct
0.500 0.368 0.843 In
0.500 0.157 0.632 In
0.500 0.843 0.368 In
0.500 0.781 0.924 In
0.500 0.632 0.157 In
0.500 0.924 0.781 In
0.500 0.219 0.076 In
0.500 0.500 0.500 In
0.500 0.076 0.219 In
0.000 0.081 0.417 Er
0.000 0.312 0.312 Er
0.000 0.583 0.919 Er
0.000 0.919 0.583 Er
0.000 0.160 0.840 Er
0.000 0.417 0.081 Er
0.000 0.840 0.160 Er
0.000 0.000 0.000 Er
0.000 0.688 0.688 Er
0.000 0.374 0.626 Er
0.000 0.626 0.374 Er
0.500 0.550 0.752 Ni
0.500 0.248 0.450 Ni
0.500 0.752 0.550 Ni
0.500 0.450 0.248 Ni



5.
HfPaAl PBE relaxed; distance to the lowest polymorph of the same formula = 180 meV per atom; Fermi-level density of states = 4.652 states/eV per cell; energy = -7.710 eV/atom; energy of formation from the pure elements = 0.1 eV/f.u.
1.0
3.109 0.000 0.000
0.000 4.972 0.000
0.000 -2.486 4.306
Pa Al Hf
1 1 1
Direct
0.667 0.667 0.333 Pa
0.164 0.000 0.000 Al
0.169 0.333 0.667 Hf



6.
HfAgP2Se PBE relaxed; Fermi-level density of states = 5.730 states/eV per cell; energy = -4.686 eV/atom; raw formation energy = 736.1 meV/atom
1.0
4.856 0.000 0.000
0.000 4.856 0.000
0.000 0.000 5.655
P Hf Ag Se
2 1 1 1
Direct
0.500 0.000 0.000 P
0.000 0.500 0.000 P
0.000 0.000 0.000 Hf
0.000 0.000 0.500 Ag
0.500 0.500 0.500 Se



7.
CuSiCl2 PBE relaxed; distance to the lowest polymorph of the same formula = 837 meV per atom; Fermi-level density of states = 4.117 states/eV per cell; energy = -2.783 eV/atom; raw formation energy = 520.3 meV/atom
1.0
4.695 0.000 0.000
2.347 4.066 0.000
2.347 1.355 3.833
Si Cu Cl
1 1 2
Direct
0.750 0.750 0.750 Si
0.500 0.500 0.500 Cu
0.250 0.250 0.250 Cl
0.000 0.000 0.000 Cl



8.
MgPd3Se PBE relaxed; distance to the lowest polymorph of the same formula = 639 meV per atom; Fermi-level density of states = 3.729 states/eV per cell; energy = -3.621 eV/atom; raw formation energy = 510.4 meV/atom
1.0
4.645 0.000 0.000
0.000 4.645 0.000
0.000 0.000 4.645
Mg Pd Se
1 3 1
Direct
0.000 0.000 0.000 Mg
0.500 0.000 0.000 Pd
0.000 0.000 0.500 Pd
0.000 0.500 0.000 Pd
0.500 0.500 0.500 Se



9.
DyTmSc2S4 PBE relaxed; Fermi-level density of states = 4.954 states/eV per cell; energy = -6.688 eV/atom; raw formation energy = -1907.2 meV/atom
1.0
-0.579 2.593 2.666
-2.821 -4.536 3.799
4.596 -2.841 3.762
Sc S Tm Dy
2 4 1 1
Direct
0.000 0.000 0.000 Sc
0.500 0.000 0.500 Sc
0.000 0.764 0.742 S
0.500 0.238 0.751 S
0.000 0.236 0.258 S
0.500 0.762 0.249 S
0.000 0.500 0.500 Tm
0.500 0.500 0.000 Dy



10.
RbMnInBr4 PBE relaxed; Fermi-level density of states = 0.000 states/eV per cell; energy = -3.831 eV/atom; raw formation energy = -1035.8 meV/atom
1.0
7.571 0.000 0.008
0.000 7.621 0.000
-2.934 0.000 9.076
In Br Rb Mn
2 8 2 2
Direct
0.259 0.250 0.053 In
0.741 0.750 0.947 In
0.005 0.999 0.783 Br
0.567 0.250 0.869 Br
0.995 0.499 0.217 Br
0.433 0.750 0.131 Br
0.627 0.250 0.446 Br
0.373 0.750 0.554 Br
0.005 0.501 0.783 Br
0.995 0.001 0.217 Br
0.212 0.250 0.541 Rb
0.788 0.750 0.459 Rb
0.220 0.750 0.284 Mn
0.780 0.250 0.716 Mn



11.
Ba2SrMg12Zn3 PBE relaxed; Fermi-level density of states = 11.761 states/eV per cell; energy = -1.391 eV/atom; energy of formation from the pure elements = 3.4 eV/f.u.
1.0
-1.015 3.542 8.610
-6.586 -3.419 5.713
2.471 -5.085 7.466
Zn Ba Mg Sr
3 2 12 1
Direct
0.500 0.000 0.000 Zn
0.000 0.500 0.000 Zn
0.000 0.000 0.500 Zn
0.590 0.590 0.590 Ba
0.410 0.410 0.410 Ba
0.280 0.280 0.873 Mg
0.840 0.489 0.840 Mg
0.127 0.720 0.720 Mg
0.873 0.280 0.280 Mg
0.720 0.720 0.127 Mg
0.160 0.160 0.511 Mg
0.489 0.840 0.840 Mg
0.280 0.873 0.280 Mg
0.160 0.511 0.160 Mg
0.840 0.840 0.489 Mg
0.511 0.160 0.160 Mg
0.720 0.127 0.720 Mg
0.000 0.000 0.000 Sr



12.
Mn2BiP PBE relaxed; Fermi-level density of states = 3.139 states/eV per cell; energy = -6.318 eV/atom; energy of formation from the pure elements = 2.4 eV/f.u.
1.0
0.611 -3.266 2.791
-3.285 -1.381 2.476
-1.811 -3.870 -0.759
Mn Bi P
2 1 1
Direct
0.750 0.750 0.750 Mn
0.250 0.250 0.250 Mn
0.500 0.500 0.500 Bi
0.000 0.000 0.000 P